# 1
This record from OQMD via LeMat-Bulk describes a relaxed ZrCu2Cl6 crystal. The functional is PBE-GGA. Values from VASP.

Results
Size of the total moment in μB/atom: 0.0004
Symmetry: P-3m1 (164)
Energy in eV per atom: -4.1710
Theoretical density in g cm⁻³: 3.38

```
&SYSTEM
  ibrav = 0, nat = 27, ntyp = 3
/
ATOMIC_SPECIES
Zr 91.22 Zr.upf
Cu 63.55 Cu.upf
Cl 35.45 Cl.upf
ATOMIC_POSITIONS angstrom
Zr 0.0000 0.0000 0.0000
Zr 0.0000 6.3529 3.0825
Zr 5.5018 3.1765 2.9700
Cu 0.0000 4.1635 5.5080
Cu -1.8961 7.4476 5.5080
Cu 3.6057 2.0818 0.5446
Cu 1.8961 7.4476 5.5080
Cu 7.3978 2.0818 0.5446
Cu 5.5018 5.3658 0.5446
Cl 0.0000 2.0472 4.6214
Cl -3.7288 8.5057 4.6214
Cl -1.8177 5.3034 4.5771
Cl 1.7730 1.0236 1.4311
Cl 0.0000 4.2895 1.7379
Cl -1.7870 7.3846 1.7379
Cl 1.8177 5.3034 4.5771
Cl 0.0000 8.4518 4.5771
Cl 3.7148 2.1447 4.3147
Cl 1.7870 7.3846 1.7379
Cl 5.5018 1.0775 1.4754
Cl 3.6841 4.2259 1.4754
Cl 7.2888 2.1447 4.3147
Cl 5.5018 5.2399 4.3147
Cl 3.7288 8.5057 4.6214
Cl 7.3195 4.2259 1.4754
Cl 9.2306 1.0236 1.4311
Cl 5.5018 7.4821 1.4311
CELL_PARAMETERS angstrom
11.0036 0.0000 0.0000
-5.5018 9.5294 0.0000
0.0000 0.0000 6.0526
```

=====

# 2
This record from OQMD via LeMat-Bulk describes a relaxed DyCl2 crystal. The functional is PBE-GGA. Values from VASP.

Results
Size of the total moment in μB/atom: 0.3222
Symmetry: Fd-3m (227)
Energy in eV per atom: -4.2156
Theoretical density in g cm⁻³: 1.84

```
&SYSTEM
  ibrav = 0, nat = 6, ntyp = 2
/
ATOMIC_SPECIES
Dy 162.50 Dy.upf
Cl 35.45 Cl.upf
ATOMIC_POSITIONS angstrom
Dy 1.4867 1.4867 1.4867
Dy 10.4069 10.4069 10.4069
Cl 0.0000 0.0000 0.0000
Cl 2.9734 2.9734 0.0000
Cl 2.9734 0.0000 2.9734
Cl 0.0000 2.9734 2.9734
CELL_PARAMETERS angstrom
0.0000 5.9468 5.9468
5.9468 0.0000 5.9468
5.9468 5.9468 0.0000
```

=====

# 3
This record from OQMD via LeMat-Bulk describes a relaxed DyCl2 crystal. The functional is PBE-GGA. Values from VASP.

Results
Size of the total moment in μB/atom: 0.3052
Symmetry: P2_13 (198)
Energy in eV per atom: -4.4460
Theoretical density in g cm⁻³: 5.27

```
&SYSTEM
  ibrav = 0, nat = 12, ntyp = 2
/
ATOMIC_SPECIES
Dy 162.50 Dy.upf
Cl 35.45 Cl.upf
ATOMIC_POSITIONS angstrom
Dy 0.0041 3.3215 3.3297
Dy 3.3215 3.3297 0.0041
Dy 3.3297 0.0041 3.3215
Dy 6.6471 6.6471 6.6471
Cl 0.9723 4.2979 5.6788
Cl 0.9913 5.6598 2.3342
Cl 2.3342 0.9913 5.6598
Cl 2.3532 2.3532 2.3532
Cl 4.2979 5.6788 0.9723
Cl 4.3169 4.3169 4.3169
Cl 5.6598 2.3342 0.9913
Cl 5.6788 0.9723 4.2979
CELL_PARAMETERS angstrom
6.6512 0.0000 0.0000
0.0000 6.6512 0.0000
0.0000 0.0000 6.6512
```

=====

# 4
This record from OQMD via LeMat-Bulk describes a relaxed DyCl3 crystal. The functional is PBE-GGA. Values from VASP.

Results
Size of the total moment in μB/atom: 0.0004
Symmetry: Pnma (62)
Energy in eV per atom: -4.7330
Theoretical density in g cm⁻³: 4.77

```
&SYSTEM
  ibrav = 0, nat = 16, ntyp = 2
/
ATOMIC_SPECIES
Dy 162.50 Dy.upf
Cl 35.45 Cl.upf
ATOMIC_POSITIONS angstrom
Dy 0.8661 2.2305 0.2990
Dy 2.6159 6.6914 3.3132
Dy 4.3482 2.2305 2.7152
Dy 6.0980 6.6914 5.7294
Cl 0.2760 6.6914 2.0905
Cl 1.1608 5.0708 5.0157
Cl 1.1608 8.3120 5.0157
Cl 2.3213 0.6099 2.0015
Cl 2.3213 3.8510 2.0015
Cl 3.2060 2.2305 5.1047
Cl 3.7581 6.6914 0.9237
Cl 4.6429 5.0708 4.0269
Cl 4.6429 8.3120 4.0269
Cl 5.8033 0.6099 1.0127
Cl 5.8033 3.8510 1.0127
Cl 6.6881 2.2305 3.9379
CELL_PARAMETERS angstrom
6.9642 0.0000 0.0000
0.0000 8.9219 0.0000
0.0000 0.0000 6.0284
```

=====

# 5
This record from OQMD via LeMat-Bulk describes a relaxed DyCl2 crystal. The functional is PBE-GGA. Values from VASP.

Results
Size of the total moment in μB/atom: 0.2223
Symmetry: R-3 (148)
Energy in eV per atom: -4.6845
Theoretical density in g cm⁻³: 4.61

```
&SYSTEM
  ibrav = 0, nat = 18, ntyp = 2
/
ATOMIC_SPECIES
Dy 162.50 Dy.upf
Cl 35.45 Cl.upf
ATOMIC_POSITIONS angstrom
Dy -1.9987 -0.5359 3.0071
Dy 1.4635 -1.4630 3.0071
Dy 0.5353 1.9989 3.0071
Dy -0.5353 -1.9989 6.1752
Dy -1.4635 1.4630 6.1752
Dy 1.9987 0.5359 6.1751
Cl -0.5900 -2.1960 1.5343
Cl -1.6068 1.6089 1.5343
Cl -2.6606 -2.6978 4.5627
Cl -3.6667 0.9553 4.6195
Cl 2.1968 0.5871 1.5343
Cl 1.0060 -3.6531 4.6195
Cl -1.0060 3.6531 4.5627
Cl -2.1968 -0.5871 7.6480
Cl 3.6667 -0.9553 4.5627
Cl 2.6606 2.6978 4.6195
Cl 1.6068 -1.6089 7.6480
Cl 0.5900 2.1960 7.6480
CELL_PARAMETERS angstrom
6.8978 3.9824 3.0608
-6.8978 3.9824 3.0608
0.0000 -7.9648 3.0608
```

=====

# 6
This record from OQMD via LeMat-Bulk describes a relaxed DyCl3 crystal. The functional is PBE-GGA. Values from VASP.

Results
Size of the total moment in μB/atom: 0.0005
Symmetry: Pnma (62)
Energy in eV per atom: -4.7394
Theoretical density in g cm⁻³: 4.66

```
&SYSTEM
  ibrav = 0, nat = 16, ntyp = 2
/
ATOMIC_SPECIES
Dy 162.50 Dy.upf
Cl 35.45 Cl.upf
ATOMIC_POSITIONS angstrom
Dy 0.8535 2.2922 0.3327
Dy 2.5810 6.8765 3.3762
Dy 4.2879 2.2922 2.7108
Dy 6.0154 6.8765 5.7543
Cl 0.2856 6.8765 2.0624
Cl 1.1330 5.2368 5.0193
Cl 1.1330 8.5162 5.0193
Cl 2.3015 0.6525 1.9758
Cl 2.3015 3.9319 1.9758
Cl 3.1489 2.2922 5.1059
Cl 3.7200 6.8765 0.9811
Cl 4.5674 5.2368 4.1112
Cl 4.5674 8.5162 4.1112
Cl 5.7360 0.6525 1.0677
Cl 5.7360 3.9319 1.0677
Cl 6.5833 2.2922 4.0246
CELL_PARAMETERS angstrom
6.8689 0.0000 0.0000
0.0000 9.1687 0.0000
0.0000 0.0000 6.0870
```

=====

# 7
This record from OQMD via LeMat-Bulk describes a relaxed DyCl2 crystal. The functional is PBE-GGA. Values from VASP.

Results
Size of the total moment in μB/atom: 0.0030
Symmetry: Pnma (62)
Energy in eV per atom: -4.6546
Theoretical density in g cm⁻³: 5.18

```
&SYSTEM
  ibrav = 0, nat = 12, ntyp = 2
/
ATOMIC_SPECIES
Dy 162.50 Dy.upf
Cl 35.45 Cl.upf
ATOMIC_POSITIONS angstrom
Dy 1.5563 0.9302 12.3267
Dy 1.7026 2.7905 6.1612
Dy 4.8152 0.9302 6.1697
Dy 4.9614 2.7905 0.0043
Cl 0.5154 0.9302 4.5721
Cl 0.5602 2.7905 1.6816
Cl 2.6987 0.9302 7.8471
Cl 2.7435 2.7905 10.7376
Cl 3.7742 0.9302 1.5933
Cl 3.8191 2.7905 4.4839
Cl 5.9575 0.9302 10.6493
Cl 6.0024 2.7905 7.7588
CELL_PARAMETERS angstrom
6.5177 0.0000 0.0000
0.0000 3.7206 0.0000
0.0000 0.0000 12.3309
```

=====

# 8
This record from OQMD via LeMat-Bulk describes a relaxed DyCl2 crystal. The functional is PBE-GGA. Values from VASP.

Results
Size of the total moment in μB/atom: 0.3207
Symmetry: Fd-3m (227)
Energy in eV per atom: -3.1298
Theoretical density in g cm⁻³: 5.41

```
&SYSTEM
  ibrav = 0, nat = 6, ntyp = 2
/
ATOMIC_SPECIES
Dy 162.50 Dy.upf
Cl 35.45 Cl.upf
ATOMIC_POSITIONS angstrom
Dy 1.0385 1.0385 1.0385
Dy 7.2698 7.2698 7.2698
Cl 4.1541 2.0771 2.0771
Cl 2.0771 4.1541 2.0771
Cl 2.0771 2.0771 4.1541
Cl 4.1541 4.1541 4.1541
CELL_PARAMETERS angstrom
0.0000 4.1541 4.1541
4.1541 0.0000 4.1541
4.1541 4.1541 0.0000
```

=====

Copy entry 6 word for word.
This record from OQMD via LeMat-Bulk describes a relaxed DyCl3 crystal. The functional is PBE-GGA. Values from VASP.

Results
Size of the total moment in μB/atom: 0.0005
Symmetry: Pnma (62)
Energy in eV per atom: -4.7394
Theoretical density in g cm⁻³: 4.66

```
&SYSTEM
  ibrav = 0, nat = 16, ntyp = 2
/
ATOMIC_SPECIES
Dy 162.50 Dy.upf
Cl 35.45 Cl.upf
ATOMIC_POSITIONS angstrom
Dy 0.8535 2.2922 0.3327
Dy 2.5810 6.8765 3.3762
Dy 4.2879 2.2922 2.7108
Dy 6.0154 6.8765 5.7543
Cl 0.2856 6.8765 2.0624
Cl 1.1330 5.2368 5.0193
Cl 1.1330 8.5162 5.0193
Cl 2.3015 0.6525 1.9758
Cl 2.3015 3.9319 1.9758
Cl 3.1489 2.2922 5.1059
Cl 3.7200 6.8765 0.9811
Cl 4.5674 5.2368 4.1112
Cl 4.5674 8.5162 4.1112
Cl 5.7360 0.6525 1.0677
Cl 5.7360 3.9319 1.0677
Cl 6.5833 2.2922 4.0246
CELL_PARAMETERS angstrom
6.8689 0.0000 0.0000
0.0000 9.1687 0.0000
0.0000 0.0000 6.0870
```